# BaAlTe2N

A geometry-optimized BaAlTe2N structure (GGA-PBEsol, Alexandria via LeMat-Bulk).

Lattice parameters (Å, degrees): 4.6632 6.4600 6.4600 90.00 90.00 90.00
Site moments in Bohr magnetons follow the coordinates.
Positions (direct):
N: 0.5000 0.0000 0.0000  0.90
Te: 0.0000 0.0000 0.5000  0.49
Te: 0.0000 0.5000 0.0000  0.49
Ba: 0.0000 0.0000 0.0000  0.05
Al: 0.5000 0.5000 0.5000  0.02

Properties
E   -3.324 eV/atom
ΔE_f (raw)   1.040 eV per atom